Entry from the Alexandria database: a geometry-optimized GePdCO2 structure (PBE).

The structure belongs to space group P4/mmm (No. 123); the cell edges are 3.714, 3.714 and 4.074 Å and the angles 90.00°, 90.00° and 90.00°. The inequivalent atoms are Ge at (0.000, 0.000, 0.000), Pd at (0.500, 0.500, 0.500), C at (0.000, 0.000, 0.500) and O at (0.000, 0.500, 0.000).

The value obtained for the uncorrected formation energy is 502 meV/atom.